The following is a PBE calculation of crystalline Ti2AsRhAu at its relaxed geometry, from the Alexandria database.

Lattice parameters (Å, degrees): 4.789 4.789 4.925 90.00 90.00 90.00
Positions (direct):
Ti: 0.000 0.500 0.000
Ti: 0.500 0.000 0.000
As: 0.000 0.000 0.500
Rh: 0.500 0.500 0.500
Au: 0.500 0.500 0.000

Its space group is P4/mmm (123). The value obtained for the density of states at the Fermi level is 1.194 states/eV per atom. The energy of formation is 865 meV/atom.

The following is a PBE calculation of crystalline TaVGe at its relaxed geometry, from the Alexandria database.

Lattice parameters (Å, degrees): 6.868 6.868 3.059 90.00 90.00 137.46
Positions (direct):
Ta: 0.158 0.842 0.000
Ta: 0.842 0.158 0.000
V: 0.325 0.675 0.500
V: 0.675 0.325 0.500
Ge: 0.252 0.252 0.500
Ge: 0.748 0.748 0.500

Its space group is Cmmm (65). The value obtained for the density of states at the Fermi level is 0.882 states/eV per atom. The energy of formation is -37 meV/atom.

The following is a PBE calculation of crystalline AlHg2Pt at its relaxed geometry, from the Alexandria database.

Lattice parameters (Å, degrees): 3.720 3.720 5.498 90.00 90.00 90.00
Positions (direct):
Al: 0.000 0.000 0.000
Hg: 0.500 0.500 0.251
Hg: 0.500 0.500 0.749
Pt: 0.000 0.000 0.500

Its space group is P4/mmm (123). The value obtained for the density of states at the Fermi level is 0.077 states/eV per atom. The energy of formation is 0 meV/atom.

The following is a PBE calculation of crystalline Ac6Hg2Rh3 at its relaxed geometry, from the Alexandria database.

Lattice parameters (Å, degrees): 7.497 7.497 8.500 98.56 98.56 120.04
Positions (direct):
Ac: 0.063 0.402 0.203
Ac: 0.261 0.261 0.801
Ac: 0.402 0.063 0.203
Ac: 0.598 0.937 0.797
Ac: 0.739 0.739 0.199
Ac: 0.937 0.598 0.797
Hg: 0.165 0.835 0.500
Hg: 0.835 0.165 0.500
Rh: 0.000 0.000 0.000
Rh: 0.333 0.667 0.000
Rh: 0.667 0.333 0.000

Its space group is C2/m (12). The value obtained for the density of states at the Fermi level is 0.728 states/eV per atom. The energy of formation is -583 meV/atom.

The following is a PBE calculation of crystalline InBi2Pb2 at its relaxed geometry, from the Alexandria database.

Lattice parameters (Å, degrees): 8.961 8.961 4.155 90.00 90.00 90.00
Positions (direct):
In: 0.000 0.000 0.000
In: 0.500 0.500 0.000
Bi: 0.143 0.357 0.000
Bi: 0.357 0.857 0.000
Bi: 0.643 0.143 0.000
Bi: 0.857 0.643 0.000
Pb: 0.148 0.648 0.500
Pb: 0.352 0.148 0.500
Pb: 0.648 0.852 0.500
Pb: 0.852 0.352 0.500

Its space group is P4/mbm (127). The value obtained for the density of states at the Fermi level is 0.589 states/eV per atom. For the relative energy among the computed polymorphs, the calculation gives 26.4 kJ/mol of formula units. The energy of formation is 86 meV/atom.

The following is a PBE calculation of crystalline ScAl2Re2 at its relaxed geometry, from the Alexandria database.

Lattice parameters (Å, degrees): 7.819 7.819 2.678 90.00 90.00 90.00
Positions (direct):
Sc: 0.000 0.000 0.000
Sc: 0.500 0.500 0.000
Al: 0.166 0.334 0.500
Al: 0.334 0.834 0.500
Al: 0.666 0.166 0.500
Al: 0.834 0.666 0.500
Re: 0.130 0.630 0.000
Re: 0.370 0.130 0.000
Re: 0.630 0.870 0.000
Re: 0.870 0.370 0.000

Its space group is P4/mbm (127). The value obtained for the density of states at the Fermi level is 1.033 states/eV per atom. For the relative energy among the computed polymorphs, the calculation gives 36.9 kJ/mol of formula units. The energy of formation is -82 meV/atom.

The following is a PBE calculation of crystalline CaSi3Rh5 at its relaxed geometry, from the Alexandria database.

Lattice parameters (Å, degrees): 6.535 6.535 12.195 90.00 90.00 145.17
Positions (direct):
Ca: 0.163 0.837 0.750
Ca: 0.837 0.163 0.250
Si: 0.115 0.885 0.250
Si: 0.382 0.618 0.040
Si: 0.382 0.618 0.460
Si: 0.618 0.382 0.540
Si: 0.618 0.382 0.960
Si: 0.885 0.115 0.750
Rh: 0.000 0.000 0.000
Rh: 0.000 0.000 0.500
Rh: 0.202 0.798 0.072
Rh: 0.202 0.798 0.428
Rh: 0.450 0.550 0.644
Rh: 0.450 0.550 0.856
Rh: 0.550 0.450 0.144
Rh: 0.550 0.450 0.356
Rh: 0.798 0.202 0.572
Rh: 0.798 0.202 0.928

Its space group is Cmcm (63). The value obtained for the density of states at the Fermi level is 0.859 states/eV per atom. Its formation energy (no corrections) is -0.7003 eV per atom.

The following is a PBE calculation of crystalline Ir2CI at its relaxed geometry, from the Alexandria database.

Lattice parameters (Å, degrees): 4.427 4.427 4.427 60.00 60.00 60.00
Positions (direct):
Ir: 0.250 0.250 0.250
Ir: 0.750 0.750 0.750
C: 0.000 0.000 0.000
I: 0.500 0.500 0.500

Its space group is Fm-3m (225). The value obtained for the density of states at the Fermi level is 1.233 states/eV per atom. Its formation energy (no corrections) is 1.9813 eV per atom. For the relative energy among the computed polymorphs, the calculation gives 454.1 kJ/mol of formula units.

The following is a PBE calculation of crystalline Tl2In4Pb3 at its relaxed geometry, from the Alexandria database.

Lattice parameters (Å, degrees): 9.501 9.501 6.879 90.54 90.54 59.71
Positions (direct):
Tl: 0.010 0.328 0.058
Tl: 0.328 0.010 0.558
Tl: 0.672 0.990 0.442
Tl: 0.990 0.672 0.942
In: 0.010 0.652 0.435
In: 0.329 0.670 0.503
In: 0.330 0.671 0.997
In: 0.348 0.990 0.065
In: 0.652 0.010 0.935
In: 0.670 0.329 0.003
In: 0.671 0.330 0.497
In: 0.990 0.348 0.565
Pb: 0.011 0.989 0.250
Pb: 0.339 0.348 0.727
Pb: 0.348 0.339 0.227
Pb: 0.652 0.661 0.773
Pb: 0.661 0.652 0.273
Pb: 0.989 0.011 0.750

Its space group is C2/c (15). The value obtained for the density of states at the Fermi level is 0.266 states/eV per atom. For the relative energy among the computed polymorphs, the calculation gives 0.0 kJ/mol of formula units. The energy of formation is 31 meV/atom.

The following is a PBE calculation of crystalline TbDyAg2S4 at its relaxed geometry, from the Alexandria database.

Lattice parameters (Å, degrees): 7.132 4.082 7.673 90.00 102.48 90.00
Positions (direct):
Tb: 0.000 0.000 0.000
Dy: 0.500 0.500 0.000
Ag: 0.000 0.500 0.500
Ag: 0.500 0.000 0.500
S: 0.126 0.500 0.811
S: 0.376 0.000 0.188
S: 0.624 0.000 0.812
S: 0.874 0.500 0.189

Its space group is P2/m (10). The value obtained for the density of states at the Fermi level is 0.000 states/eV per atom. Its formation energy (no corrections) is -1.3074 eV per atom.

The following is a PBE calculation of crystalline CuNi2Pb at its relaxed geometry, from the Alexandria database.

Lattice parameters (Å, degrees): 4.331 4.331 4.331 60.00 60.00 60.00
Positions (direct):
Cu: 0.000 0.000 0.000
Ni: 0.250 0.250 0.250
Ni: 0.500 0.500 0.500
Pb: 0.750 0.750 0.750

Its space group is F-43m (216). The value obtained for the density of states at the Fermi level is 0.728 states/eV per atom. The energy of formation is 247 meV/atom.

The following is a PBE calculation of crystalline Pa2CrInN6 at its relaxed geometry, from the Alexandria database.

Lattice parameters (Å, degrees): 5.339 5.339 5.038 90.00 90.00 90.00
Positions (direct):
Pa: 0.000 0.500 0.000
Pa: 0.500 0.000 0.000
Cr: 0.000 0.000 0.616
In: 0.500 0.500 0.572
N: 0.000 0.000 0.283
N: 0.235 0.235 0.771
N: 0.235 0.765 0.771
N: 0.500 0.500 0.164
N: 0.765 0.235 0.771
N: 0.765 0.765 0.771

Its space group is P4mm (99). Its formation energy (no corrections) is -0.6537 eV per atom.